(1)
## La2Pm6DyY (PBE-GGA)

Data for crystalline La2Pm6DyY at its relaxed geometry.

a b c (Å): 10.0447 8.9266 8.9266
angles (deg): 118.32 95.03 95.03
Fractional coordinates of all 20 atoms:
La  0.4595  0.8067  0.7041
La  0.0405  0.2959  0.1933
La  0.5405  0.1933  0.2959
La  0.9595  0.7041  0.8067
Pm  0.0557  0.1249  0.7436
Pm  0.4443  0.2564  0.8751
Pm  0.9443  0.8751  0.2564
Pm  0.5557  0.7436  0.1249
Pm  0.3107  0.9788  0.4189
Pm  0.1893  0.5811  0.0212
Pm  0.6893  0.0212  0.5811
Pm  0.8107  0.4189  0.9788
Pm  0.1212  0.7074  0.5029
Pm  0.3788  0.4971  0.2926
Pm  0.8788  0.2926  0.4971
Pm  0.6212  0.5029  0.7074
Dy  0.2500  0.4051  0.5949
Dy  0.7500  0.5949  0.4051
Y  0.2500  0.9862  0.0138
Y  0.7500  0.0138  0.9862

Properties
theoretical density = 6.694 g/cm3
total moment = 0.000 μB/f.u.
ΔH_f (0 K) = 113 meV per atom
density of states at the Fermi level = 1.532 states/eV per atom
space group = C2/c (15)


(2)
## LaPmDy2Y6 (PBE-GGA)

Data for crystalline LaPmDy2Y6 at its relaxed geometry.

a b c (Å): 9.6103 8.8636 8.8636
angles (deg): 117.21 93.45 93.45
Fractional coordinates of all 20 atoms:
La  0.2500  0.9701  0.0299
La  0.7500  0.0299  0.9701
Pm  0.2500  0.4099  0.5901
Pm  0.7500  0.5901  0.4099
Dy  0.4495  0.8045  0.7008
Dy  0.0505  0.2992  0.1955
Dy  0.5505  0.1955  0.2992
Dy  0.9495  0.7008  0.8045
Y  0.0579  0.1194  0.7515
Y  0.4421  0.2485  0.8806
Y  0.9421  0.8806  0.2485
Y  0.5579  0.7515  0.1194
Y  0.3200  0.9831  0.4380
Y  0.1800  0.5620  0.0169
Y  0.6800  0.0169  0.5620
Y  0.8200  0.4380  0.9831
Y  0.1144  0.7059  0.4863
Y  0.3856  0.5137  0.2941
Y  0.8856  0.2941  0.5137
Y  0.6144  0.4863  0.7059

Properties
theoretical density = 5.688 g/cm3
total moment = 0.000 μB/f.u.
ΔH_f (0 K) = 120 meV per atom
density of states at the Fermi level = 1.611 states/eV per atom
space group = C2/c (15)


(3)
## LaPm2Dy5Y (PBE-GGA)

Data for crystalline LaPm2Dy5Y at its relaxed geometry.

a b c (Å): 8.7951 8.7951 9.9331
angles (deg): 116.28 116.28 90.00
Fractional coordinates of all 18 atoms:
La  0.2500  0.2500  0.5000
La  0.7500  0.7500  0.5000
Pm  0.1164  0.3836  0.0000
Pm  0.6164  0.1164  0.0000
Pm  0.3836  0.8836  0.0000
Pm  0.8836  0.6164  0.0000
Dy  0.9264  0.4264  0.2710
Dy  0.6554  0.1554  0.7290
Dy  0.0736  0.5736  0.7290
Dy  0.1554  0.0736  0.7290
Dy  0.5736  0.6554  0.7290
Dy  0.8446  0.9264  0.2710
Dy  0.4264  0.3446  0.2710
Dy  0.3446  0.8446  0.2710
Dy  0.5000  0.5000  0.0000
Dy  0.0000  0.0000  0.0000
Y  0.2500  0.7500  0.5000
Y  0.7500  0.2500  0.5000

Properties
theoretical density = 7.374 g/cm3
total moment = 0.001 μB/f.u.
ΔH_f (0 K) = 260 meV per atom
density of states at the Fermi level = 1.159 states/eV per atom
space group = I4/mcm (140)


(4)
## La2Pm2DyY2 (PBE-GGA)

Data for crystalline La2Pm2DyY2 at its relaxed geometry.

a b c (Å): 5.7886 5.7886 8.9543
angles (deg): 71.14 71.14 60.00
Fractional coordinates of all 7 atoms:
La  0.1372  0.1372  0.5883
La  0.8628  0.8628  0.4117
Pm  0.7140  0.7140  0.8579
Pm  0.2860  0.2860  0.1421
Dy  0.0000  0.0000  0.0000
Y  0.5725  0.5725  0.2824
Y  0.4275  0.4275  0.7176

Properties
theoretical density = 6.256 g/cm3
total moment = 0.003 μB/f.u.
ΔH_f (0 K) = 124 meV per atom
density of states at the Fermi level = 2.266 states/eV per atom
space group = R-3m (166)


(5)
## La6PmDyY2 (PBE-GGA)

Data for crystalline La6PmDyY2 at its relaxed geometry.

a b c (Å): 9.0626 7.1324 6.7479
angles (deg): 121.90 102.01 90.00
Fractional coordinates of all 10 atoms:
La  0.4309  0.6358  0.2717
La  0.1950  0.0397  0.6356
La  0.8050  0.4041  0.3644
La  0.1950  0.5959  0.6356
La  0.8050  0.9603  0.3644
La  0.5691  0.3642  0.7283
Pm  0.5000  0.0000  0.0000
Dy  0.0000  0.5000  0.0000
Y  0.1647  0.0876  0.1752
Y  0.8353  0.9124  0.8248

Properties
theoretical density = 6.100 g/cm3
total moment = 0.000 μB/f.u.
ΔH_f (0 K) = 193 meV per atom
density of states at the Fermi level = 1.921 states/eV per atom
space group = C2/m (12)


(6)
## LaPm2DyY (PBE-GGA)

Data for crystalline LaPm2DyY at its relaxed geometry.

a b c (Å): 6.5924 8.5102 6.3078
angles (deg): 97.13 90.00 90.00
Fractional coordinates of all 10 atoms:
La  0.0000  0.0000  0.0000
La  0.0000  0.0000  0.5000
Pm  0.6862  0.6886  0.7906
Pm  0.6862  0.3114  0.7094
Pm  0.3138  0.6886  0.2906
Pm  0.3138  0.3114  0.2094
Dy  0.5628  0.0000  0.2500
Dy  0.4372  0.0000  0.7500
Y  0.1652  0.5000  0.7500
Y  0.8348  0.5000  0.2500

Properties
theoretical density = 6.434 g/cm3
total moment = 0.000 μB/f.u.
ΔH_f (0 K) = 270 meV per atom
density of states at the Fermi level = 1.429 states/eV per atom
space group = P2/c (13)


(7)
## LaPmDy5Y2 (PBE-GGA)

Data for crystalline LaPmDy5Y2 at its relaxed geometry.

a b c (Å): 8.8143 8.8143 9.8786
angles (deg): 116.50 116.50 90.00
Fractional coordinates of all 18 atoms:
La  0.2500  0.2500  0.5000
La  0.7500  0.7500  0.5000
Pm  0.2500  0.7500  0.5000
Pm  0.7500  0.2500  0.5000
Dy  0.9306  0.4306  0.2694
Dy  0.6612  0.1612  0.7306
Dy  0.0694  0.5694  0.7306
Dy  0.1612  0.0694  0.7306
Dy  0.5694  0.6612  0.7306
Dy  0.8388  0.9306  0.2694
Dy  0.4306  0.3388  0.2694
Dy  0.3388  0.8388  0.2694
Dy  0.5000  0.5000  0.0000
Dy  0.0000  0.0000  0.0000
Y  0.1169  0.3831  0.0000
Y  0.6169  0.1169  0.0000
Y  0.3831  0.8831  0.0000
Y  0.8831  0.6169  0.0000

Properties
theoretical density = 7.107 g/cm3
total moment = 0.000 μB/f.u.
ΔH_f (0 K) = 285 meV per atom
density of states at the Fermi level = 1.265 states/eV per atom
space group = I4/mcm (140)


(8)
## La2PmDyY (PBE-GGA)

Data for crystalline La2PmDyY at its relaxed geometry.

a b c (Å): 7.3351 8.4881 7.2845
angles (deg): 125.63 90.00 90.00
Fractional coordinates of all 10 atoms:
La  0.5000  0.3048  0.0000
La  0.0000  0.6952  0.0000
La  0.5000  0.6952  0.0000
La  0.0000  0.3048  0.0000
Pm  0.2500  0.7151  0.4303
Pm  0.7500  0.2849  0.5697
Dy  0.2500  0.9744  0.9488
Dy  0.7500  0.0256  0.0512
Y  0.7500  0.7501  0.5001
Y  0.2500  0.2499  0.4999

Properties
theoretical density = 6.074 g/cm3
total moment = 0.001 μB/f.u.
ΔH_f (0 K) = 385 meV per atom
density of states at the Fermi level = 1.379 states/eV per atom
space group = Cmcm (63)


(9)
## La3PmDyY (PBE-GGA)

Data for crystalline La3PmDyY at its relaxed geometry.

a b c (Å): 5.2227 8.1390 10.9689
angles (deg): 115.93 90.00 90.00
Fractional coordinates of all 12 atoms:
La  0.7500  0.8765  0.0435
La  0.2500  0.1235  0.9565
La  0.2500  0.6296  0.4598
La  0.7500  0.3704  0.5402
La  0.7500  0.3788  0.2085
La  0.2500  0.6212  0.7915
Pm  0.2500  0.1231  0.2935
Pm  0.7500  0.8769  0.7065
Dy  0.2500  0.1224  0.6227
Dy  0.7500  0.8776  0.3773
Y  0.2500  0.6296  0.1265
Y  0.7500  0.3704  0.8735

Properties
theoretical density = 6.440 g/cm3
total moment = 0.000 μB/f.u.
ΔH_f (0 K) = 28 meV per atom
density of states at the Fermi level = 1.849 states/eV per atom
space group = P2_1/m (11)


(10)
## LaPm2Dy2Y (PBE-GGA)

Data for crystalline LaPm2Dy2Y at its relaxed geometry.

a b c (Å): 5.6964 9.9340 7.0715
angles (deg): 90.00 90.00 90.00
Fractional coordinates of all 12 atoms:
La  0.0000  0.0000  0.0000
La  0.5000  0.5000  0.5000
Pm  0.5000  0.8331  0.2526
Pm  0.5000  0.1669  0.7474
Pm  0.0000  0.6669  0.7526
Pm  0.0000  0.3331  0.2474
Dy  0.5000  0.1667  0.2510
Dy  0.0000  0.6667  0.2490
Dy  0.5000  0.8333  0.7490
Dy  0.0000  0.3333  0.7510
Y  0.5000  0.5000  0.0000
Y  0.0000  0.0000  0.5000

Properties
theoretical density = 6.995 g/cm3
total moment = 0.000 μB/f.u.
ΔH_f (0 K) = 56 meV per atom
density of states at the Fermi level = 1.494 states/eV per atom
space group = Pnnm (58)


(11)
## La2Pm2DyY (PBE-GGA)

Data for crystalline La2Pm2DyY at its relaxed geometry.

a b c (Å): 5.7575 7.1457 9.9849
angles (deg): 90.00 90.00 90.00
Fractional coordinates of all 12 atoms:
La  0.5000  0.0078  0.0002
La  0.0000  0.2579  0.1754
La  0.5000  0.5078  0.9998
La  0.0000  0.7579  0.8246
Pm  0.0000  0.2576  0.8350
Pm  0.5000  0.2576  0.3318
Pm  0.0000  0.7576  0.1650
Pm  0.5000  0.7576  0.6682
Dy  0.5000  0.2573  0.6577
Dy  0.5000  0.7573  0.3423
Y  0.0000  0.0074  0.4998
Y  0.0000  0.5074  0.5002

Properties
theoretical density = 6.623 g/cm3
total moment = 0.000 μB/f.u.
ΔH_f (0 K) = 51 meV per atom
density of states at the Fermi level = 1.575 states/eV per atom
space group = Pmma (51)


(12)
## La6PmDy2Y (PBE-GGA)

Data for crystalline La6PmDy2Y at its relaxed geometry.

a b c (Å): 9.0157 7.2102 6.7388
angles (deg): 122.34 101.69 90.00
Fractional coordinates of all 10 atoms:
La  0.4311  0.6338  0.2675
La  0.1988  0.0401  0.6374
La  0.8012  0.4027  0.3626
La  0.1988  0.5973  0.6374
La  0.8012  0.9599  0.3626
La  0.5689  0.3662  0.7325
Pm  0.0000  0.5000  0.0000
Dy  0.1649  0.0887  0.1774
Dy  0.8351  0.9113  0.8226
Y  0.5000  0.0000  0.0000

Properties
theoretical density = 6.435 g/cm3
total moment = 0.000 μB/f.u.
ΔH_f (0 K) = 190 meV per atom
density of states at the Fermi level = 1.927 states/eV per atom
space group = C2/m (12)


(13)
## LaPm3Dy2Y6 (PBE-GGA)

Data for crystalline LaPm3Dy2Y6 at its relaxed geometry.

a b c (Å): 6.2424 6.2424 11.8948
angles (deg): 95.00 95.00 119.98
Fractional coordinates of all 12 atoms:
La  0.0000  0.0000  0.0000
Pm  0.1670  0.8330  0.5000
Pm  0.8330  0.1670  0.5000
Pm  0.5000  0.5000  0.5000
Dy  0.3333  0.6667  0.0000
Dy  0.6667  0.3333  0.0000
Y  0.9164  0.5819  0.7503
Y  0.7489  0.7489  0.2498
Y  0.0836  0.4181  0.2497
Y  0.5819  0.9164  0.7503
Y  0.2511  0.2511  0.7502
Y  0.4181  0.0836  0.2497

Properties
theoretical density = 6.016 g/cm3
total moment = 0.000 μB/f.u.
ΔH_f (0 K) = 16 meV per atom
density of states at the Fermi level = 1.324 states/eV per atom
space group = C2/m (12)


(14)
## La3Pm6Dy2Y (PBE-GGA)

Data for crystalline La3Pm6Dy2Y at its relaxed geometry.

a b c (Å): 6.3303 6.3303 12.1039
angles (deg): 95.02 95.02 120.05
Fractional coordinates of all 12 atoms:
La  0.1670  0.8330  0.5000
La  0.8330  0.1670  0.5000
La  0.5000  0.5000  0.5000
Pm  0.9186  0.5844  0.7557
Pm  0.7473  0.7473  0.2443
Pm  0.0814  0.4156  0.2443
Pm  0.5844  0.9186  0.7557
Pm  0.2527  0.2527  0.7557
Pm  0.4156  0.0814  0.2443
Dy  0.3334  0.6666  0.0000
Dy  0.6666  0.3334  0.0000
Y  0.0000  0.0000  0.0000

Properties
theoretical density = 6.832 g/cm3
total moment = 0.000 μB/f.u.
ΔH_f (0 K) = 20 meV per atom
density of states at the Fermi level = 1.641 states/eV per atom
space group = C2/m (12)


(15)
## La2Pm6DyY3 (PBE-GGA)

Data for crystalline La2Pm6DyY3 at its relaxed geometry.

a b c (Å): 6.3106 6.3106 12.0446
angles (deg): 95.02 95.02 120.01
Fractional coordinates of all 12 atoms:
La  0.3332  0.6668  0.0000
La  0.6668  0.3332  0.0000
Pm  0.9153  0.5833  0.7466
Pm  0.7526  0.7526  0.2535
Pm  0.0847  0.4167  0.2534
Pm  0.5833  0.9153  0.7466
Pm  0.2474  0.2474  0.7465
Pm  0.4167  0.0847  0.2534
Dy  0.0000  0.0000  0.0000
Y  0.1662  0.8338  0.5000
Y  0.8338  0.1662  0.5000
Y  0.5000  0.5000  0.5000

Properties
theoretical density = 6.404 g/cm3
total moment = 0.000 μB/f.u.
ΔH_f (0 K) = 18 meV per atom
density of states at the Fermi level = 1.487 states/eV per atom
space group = C2/m (12)


(16)
## LaPmDy2Y5 (PBE-GGA)

Data for crystalline LaPmDy2Y5 at its relaxed geometry.

a b c (Å): 8.8458 8.8458 9.8922
angles (deg): 116.56 116.56 90.00
Fractional coordinates of all 18 atoms:
La  0.2500  0.2500  0.5000
La  0.7500  0.7500  0.5000
Pm  0.2500  0.7500  0.5000
Pm  0.7500  0.2500  0.5000
Dy  0.1156  0.3844  0.0000
Dy  0.6156  0.1156  0.0000
Dy  0.3844  0.8844  0.0000
Dy  0.8844  0.6156  0.0000
Y  0.9289  0.4289  0.2642
Y  0.6647  0.1647  0.7358
Y  0.0711  0.5711  0.7358
Y  0.1647  0.0711  0.7358
Y  0.5711  0.6647  0.7358
Y  0.8353  0.9289  0.2642
Y  0.4289  0.3353  0.2642
Y  0.3353  0.8353  0.2642
Y  0.5000  0.5000  0.0000
Y  0.0000  0.0000  0.0000

Properties
theoretical density = 5.834 g/cm3
total moment = 0.001 μB/f.u.
ΔH_f (0 K) = 258 meV per atom
density of states at the Fermi level = 1.280 states/eV per atom
space group = I4/mcm (140)


(17)
## LaPm3Dy6Y2 (PBE-GGA)

Data for crystalline LaPm3Dy6Y2 at its relaxed geometry.

a b c (Å): 6.2239 6.2239 11.8953
angles (deg): 94.99 94.99 119.99
Fractional coordinates of all 12 atoms:
La  0.0000  0.0000  0.0000
Pm  0.1670  0.8330  0.5000
Pm  0.8330  0.1670  0.5000
Pm  0.5000  0.5000  0.5000
Dy  0.9158  0.5819  0.7496
Dy  0.7500  0.7500  0.2505
Dy  0.0842  0.4181  0.2504
Dy  0.5819  0.9158  0.7496
Dy  0.2500  0.2500  0.7495
Dy  0.4181  0.0842  0.2504
Y  0.3333  0.6667  0.0000
Y  0.6667  0.3333  0.0000

Properties
theoretical density = 7.295 g/cm3
total moment = 0.000 μB/f.u.
ΔH_f (0 K) = 18 meV per atom
density of states at the Fermi level = 1.312 states/eV per atom
space group = C2/m (12)


(18)
## La2PmDy5Y (PBE-GGA)

Data for crystalline La2PmDy5Y at its relaxed geometry.

a b c (Å): 8.6899 8.6899 10.0346
angles (deg): 115.66 115.66 90.00
Fractional coordinates of all 18 atoms:
La  0.1177  0.3823  0.0000
La  0.6177  0.1177  0.0000
La  0.3823  0.8823  0.0000
La  0.8823  0.6177  0.0000
Pm  0.2500  0.2500  0.5000
Pm  0.7500  0.7500  0.5000
Dy  0.9246  0.4246  0.2822
Dy  0.6424  0.1424  0.7178
Dy  0.0754  0.5754  0.7178
Dy  0.1424  0.0754  0.7178
Dy  0.5754  0.6424  0.7178
Dy  0.8576  0.9246  0.2822
Dy  0.4246  0.3576  0.2822
Dy  0.3576  0.8576  0.2822
Dy  0.5000  0.5000  0.0000
Dy  0.0000  0.0000  0.0000
Y  0.2500  0.7500  0.5000
Y  0.7500  0.2500  0.5000

Properties
theoretical density = 7.341 g/cm3
total moment = 0.000 μB/f.u.
ΔH_f (0 K) = 252 meV per atom
density of states at the Fermi level = 1.411 states/eV per atom
space group = I4/mcm (140)


(19)
## La2PmDy2Y4 (PBE-GGA)

Data for crystalline La2PmDy2Y4 at its relaxed geometry.

a b c (Å): 3.6456 9.6251 9.6617
angles (deg): 115.25 90.00 100.92
Fractional coordinates of all 9 atoms:
La  0.3340  0.6679  0.0025
La  0.6660  0.3321  0.9975
Pm  0.0000  0.0000  0.0000
Dy  0.8524  0.7047  0.3371
Dy  0.1476  0.2953  0.6629
Y  0.8138  0.6276  0.6629
Y  0.1862  0.3724  0.3371
Y  0.5200  0.0401  0.3378
Y  0.4800  0.9599  0.6622

Properties
theoretical density = 6.111 g/cm3
total moment = 0.000 μB/f.u.
ΔH_f (0 K) = -5 meV per atom
density of states at the Fermi level = 1.509 states/eV per atom
space group = C2/m (12)